A plane-wave DFT calculation with PBE was carried out for a relaxed Th3SiN5 crystal.

Cell lengths 7.3266, 7.3266, 7.3266 Å; angles 125.29, 125.29, 81.05 degrees
With the nearest neighbours (Å) after each atom.
Fractional coordinates of all 18 atoms:
1 Th 0.1739 0.6739 0.8479  4 N 2.42-2.49
2 Th 0.2500 0.2500 0.0000  10 N 2.78-2.81
3 Th 0.3261 0.1739 0.5000  4 N 2.42-2.49
4 Th 0.6739 0.8261 0.5000  4 N 2.42-2.49
5 Th 0.7500 0.7500 0.0000  10 N 2.78-2.81
6 Th 0.8261 0.3261 0.1521  4 N 2.42-2.49
7 Si 0.2500 0.7500 0.5000  4 N 1.76
8 Si 0.7500 0.2500 0.5000  4 N 1.76
9 N 0.0000 0.0000 0.0000  6 Th 2.49-2.78
10 N 0.0075 0.7957 0.5000  1 Si 1.76
11 N 0.2043 0.7043 0.2118  1 Si 1.76
12 N 0.2957 0.5075 0.5000  1 Si 1.76
13 N 0.4925 0.9925 0.7882  1 Si 1.76
14 N 0.5000 0.5000 0.0000  6 Th 2.49-2.78
15 N 0.5075 0.0075 0.2118  1 Si 1.76
16 N 0.7043 0.4925 0.5000  1 Si 1.76
17 N 0.7957 0.2957 0.7882  1 Si 1.76
18 N 0.9925 0.2043 0.5000  1 Si 1.76

**Raw formation energy**: -1.430 eV/atom
**Final energy**: -164.363 eV/cell
**Magnetization**: 0.00 μB per formula unit